Record 1
Compound: InGe2N
Source: the Alexandria database
Functional: SCAN
Structure: single point on PBEsol structure

## Properties
The total energy comes out at -1.3915 Ry/atom.

a = 4.563 Å, b = 4.563 Å, c = 4.563 Å
α = 60.00°, β = 60.00°, γ = 60.00°
Positions (direct):
N 0.000 0.000 0.000
Ge 0.250 0.250 0.250
Ge 0.750 0.750 0.750
In 0.500 0.500 0.500

Record 2
Compound: NiP2BrO
Source: the Alexandria database
Functional: SCAN
Structure: single point on PBEsol structure

## Properties
The total energy comes out at -0.8882 Ry/atom.

a = 3.540 Å, b = 4.585 Å, c = 4.585 Å
α = 90.00°, β = 90.00°, γ = 90.00°
Positions (direct):
P 0.000 0.000 0.500
P 0.000 0.500 0.000
O 0.500 0.000 0.000
Br 0.500 0.500 0.500
Ni 0.000 0.000 0.000

Record 3
Compound: YSc2Hg
Source: the Alexandria database
Functional: SCAN
Structure: single point on PBEsol structure

## Properties
The total energy comes out at -2.3127 Ry/atom. Its formation energy is -0.35 eV per atom.

a = 3.644 Å, b = 4.916 Å, c = 6.113 Å
α = 113.71°, β = 107.34°, γ = 90.00°
Positions (direct):
Sc 0.972 0.972 0.943
Sc 0.747 0.247 0.494
Y 0.522 0.522 0.044
Hg 0.259 0.759 0.519

Record 4
Compound: CoSiTc
Source: the Alexandria database
Functional: SCAN
Structure: single point on PBEsol structure

## Properties
The total energy comes out at -1.5352 Ry/atom.

a = 3.854 Å, b = 3.854 Å, c = 3.854 Å
α = 60.00°, β = 60.00°, γ = 60.00°
Positions (direct):
Co 0.250 0.250 0.250
Tc 0.500 0.500 0.500
Si 0.000 0.000 0.000